# 1
# GGA-PBEsol Zr2ScZn, relaxed
# - mass density (g cm⁻³) = 5.98
# - ΔE_f (meV/atom) = -125
# - total magnetization (μB/f.u.) = 0.0
data_Zr2ScZn
_chemical_formula_sum 'Zr4 Sc2 Zn2'
_cell_length_a 3.241
_cell_length_b 4.808
_cell_length_c 10.439
_cell_angle_alpha 90.00
_cell_angle_beta 90.00
_cell_angle_gamma 90.00
_space_group_name_H-M_alt 'I m m m'
_space_group_IT_number 71
_space_group_name_Hall '-I 2 2'
loop_
_atom_site_label
_atom_site_type_symbol
_atom_site_fract_x
_atom_site_fract_y
_atom_site_fract_z
Zr1 Zr 0.000 0.000 0.221
Sc1 Sc 0.000 0.500 0.000
Zn1 Zn 0.000 0.500 0.500

# 2
# GGA-PBEsol Pr9Ga5Se21, relaxed
# - mass density (g cm⁻³) = 6.19
# - uncorrected formation energy (meV/atom) = -1426
# - total magnetization (μB/f.u.) = 0.0
data_Pr9Ga5Se21
_chemical_formula_sum 'Pr54 Ga30 Se126'
_cell_length_a 17.8519
_cell_length_b 17.8519
_cell_length_c 19.0882
_cell_angle_alpha 90.00
_cell_angle_beta 90.00
_cell_angle_gamma 120.00
_space_group_name_H-M_alt 'R 3'
_space_group_IT_number 146
_space_group_name_Hall 'R 3'
loop_
_atom_site_label
_atom_site_type_symbol
_atom_site_fract_x
_atom_site_fract_y
_atom_site_fract_z
Pr1 Pr 0.0201 0.1981 0.0000
Pr2 Pr 0.0205 0.1963 0.6537
Pr3 Pr 0.0222 0.2000 0.3172
Pr4 Pr 0.1512 0.6795 0.4814
Pr5 Pr 0.1555 0.6877 0.1645
Pr6 Pr 0.1609 0.6927 0.8247
Ga1 Ga 0.0000 0.0000 0.0923
Ga2 Ga 0.0000 0.0000 0.3804
Ga3 Ga 0.0000 0.0000 0.5900
Ga4 Ga 0.0000 0.0000 0.8842
Ga5 Ga 0.0014 0.6716 0.9621
Ga6 Ga 0.0071 0.3368 0.4620
Se1 Se 0.0008 0.6627 0.7533
Se2 Se 0.0043 0.3357 0.5865
Se3 Se 0.0050 0.5455 0.2450
Se4 Se 0.0075 0.1309 0.8479
Se5 Se 0.0120 0.1248 0.5114
Se6 Se 0.0165 0.1354 0.1670
Se7 Se 0.0165 0.5472 0.5825
Se8 Se 0.0208 0.5567 0.9141
Se9 Se 0.1246 0.1133 0.0148
Se10 Se 0.1290 0.3392 0.7493
Se11 Se 0.1299 0.3557 0.0820
Se12 Se 0.1331 0.1198 0.6647
Se13 Se 0.1340 0.1208 0.3456
Se14 Se 0.1355 0.3493 0.4106

# 3
# GGA-PBEsol LiCa3S, relaxed
# - mass density (g cm⁻³) = 1.62
# - uncorrected formation energy (meV/atom) = -724
# - total magnetization (μB/f.u.) = 0.0
data_LiCa3S
_chemical_formula_sum 'Li1 Ca3 S1'
_cell_length_a 5.460
_cell_length_b 5.460
_cell_length_c 5.460
_cell_angle_alpha 90.00
_cell_angle_beta 90.00
_cell_angle_gamma 90.00
_space_group_name_H-M_alt 'P m -3 m'
_space_group_IT_number 221
_space_group_name_Hall '-P 4 2 3'
loop_
_atom_site_label
_atom_site_type_symbol
_atom_site_fract_x
_atom_site_fract_y
_atom_site_fract_z
Li1 Li 0.000 0.000 0.000
Ca1 Ca 0.000 0.500 0.500
S1 S 0.500 0.500 0.500

# 4
# GGA-PBEsol Te2RhBr, relaxed
# - mass density (g cm⁻³) = 7.42
# - uncorrected formation energy (meV/atom) = -339
# - total magnetization (μB/f.u.) = 0.0
data_Te2RhBr
_chemical_formula_sum 'Te6 Rh3 Br3'
_cell_length_a 3.9028
_cell_length_b 3.9028
_cell_length_c 22.3064
_cell_angle_alpha 90.00
_cell_angle_beta 90.00
_cell_angle_gamma 120.00
_space_group_name_H-M_alt 'R -3 m'
_space_group_IT_number 166
_space_group_name_Hall '-R 3 2"'
loop_
_atom_site_label
_atom_site_type_symbol
_atom_site_fract_x
_atom_site_fract_y
_atom_site_fract_z
Te1 Te 0.0000 0.0000 0.2269
Rh1 Rh 0.0000 0.0000 0.5000
Br1 Br 0.0000 0.0000 0.0000

# 5
# GGA-PBEsol ZnNi5, relaxed
# - mass density (g cm⁻³) = 9.27
# - ΔE_f (meV/atom) = -65
# - total magnetization (μB/f.u.) = 2.3
data_ZnNi5
_chemical_formula_sum 'Zn1 Ni5'
_cell_length_a 2.495
_cell_length_b 2.495
_cell_length_c 10.319
_cell_angle_alpha 90.00
_cell_angle_beta 90.00
_cell_angle_gamma 90.00
_space_group_name_H-M_alt 'P 4/m m m'
_space_group_IT_number 123
_space_group_name_Hall '-P 4 2'
loop_
_atom_site_label
_atom_site_type_symbol
_atom_site_fract_x
_atom_site_fract_y
_atom_site_fract_z
Zn1 Zn 0.000 0.000 0.000
Ni1 Ni 0.000 0.000 0.337
Ni2 Ni 0.500 0.500 0.174
Ni3 Ni 0.500 0.500 0.500

# 6
# GGA-PBEsol TeMoSe2Br, relaxed
# - mass density (g cm⁻³) = 5.12
# - uncorrected formation energy (meV/atom) = 1129
# - total magnetization (μB/f.u.) = 4.5
data_TeMoSe2Br
_chemical_formula_sum 'Te1 Mo1 Se2 Br1'
_cell_length_a 5.286
_cell_length_b 5.286
_cell_length_c 5.356
_cell_angle_alpha 90.00
_cell_angle_beta 90.00
_cell_angle_gamma 90.00
_space_group_name_H-M_alt 'P 4/m m m'
_space_group_IT_number 123
_space_group_name_Hall '-P 4 2'
loop_
_atom_site_label
_atom_site_type_symbol
_atom_site_fract_x
_atom_site_fract_y
_atom_site_fract_z
Te1 Te 0.000 0.000 0.000
Mo1 Mo 0.500 0.500 0.500
Se1 Se 0.000 0.500 0.000
Br1 Br 0.000 0.000 0.500

# 7
# GGA-PBEsol LaAgAs2, relaxed
# - mass density (g cm⁻³) = 7.05
# - ΔE_f (meV/atom) = -412
# - total magnetization (μB/f.u.) = 0.0
data_LaAgAs2
_chemical_formula_sum 'La1 Ag1 As2'
_cell_length_a 3.951
_cell_length_b 3.951
_cell_length_c 5.984
_cell_angle_alpha 90.00
_cell_angle_beta 90.00
_cell_angle_gamma 90.00
_space_group_name_H-M_alt 'P 4 m m'
_space_group_IT_number 99
_space_group_name_Hall 'P 4 -2'
loop_
_atom_site_label
_atom_site_type_symbol
_atom_site_fract_x
_atom_site_fract_y
_atom_site_fract_z
La1 La 0.000 0.000 0.000
Ag1 Ag 0.500 0.500 0.390
As1 As 0.000 0.000 0.490
As2 As 0.500 0.500 0.844

# 8
# GGA-PBEsol CdCu, relaxed
# - mass density (g cm⁻³) = 9.45
# - ΔE_f (meV/atom) = 83
# - total magnetization (μB/f.u.) = 0.0
data_CdCu
_chemical_formula_sum 'Cd4 Cu4'
_cell_length_a 3.891
_cell_length_b 3.891
_cell_length_c 8.167
_cell_angle_alpha 90.00
_cell_angle_beta 90.00
_cell_angle_gamma 90.00
_space_group_name_H-M_alt 'I 41/a m d'
_space_group_IT_number 141
loop_
_space_group_symop_operation_xyz
'x,y,z'
'-x,-y,-z'
'-y+1/4,x+3/4,z+1/4'
'y+1/4,-x+3/4,-z+1/4'
'-x+1/2,-y,z+1/2'
'x+1/2,y,-z+1/2'
'y+1/4,-x+1/4,z+3/4'
'-y+1/4,x+1/4,-z+3/4'
'x,-y,-z'
'-x,y,z'
'-y+1/4,-x+1/4,-z+3/4'
'y+1/4,x+1/4,z+3/4'
'-x+1/2,y,-z+1/2'
'x+1/2,-y,z+1/2'
'y+1/4,x+3/4,-z+1/4'
'-y+1/4,-x+3/4,z+1/4'
'x+1/2,y+1/2,z+1/2'
'-x+1/2,-y+1/2,-z+1/2'
'-y+3/4,x+1/4,z+3/4'
'y+3/4,-x+1/4,-z+3/4'
'-x,-y+1/2,z'
'x,y+1/2,-z'
'y+3/4,-x+3/4,z+1/4'
'-y+3/4,x+3/4,-z+1/4'
'x+1/2,-y+1/2,-z+1/2'
'-x+1/2,y+1/2,z+1/2'
'-y+3/4,-x+3/4,-z+1/4'
'y+3/4,x+3/4,z+1/4'
'-x,y+1/2,-z'
'x,-y+1/2,z'
'y+3/4,x+1/4,-z+3/4'
'-y+3/4,-x+1/4,z+3/4'
loop_
_atom_site_label
_atom_site_type_symbol
_atom_site_fract_x
_atom_site_fract_y
_atom_site_fract_z
Cd1 Cd 0.000 0.250 0.375
Cu1 Cu 0.000 0.250 0.875

# 9
# GGA-PBEsol TmNi2P2, relaxed
# - mass density (g cm⁻³) = 8.69
# - ΔE_f (meV/atom) = -1099
# - total magnetization (μB/f.u.) = 0.0
data_TmNi2P2
_chemical_formula_sum 'Tm2 Ni4 P4'
_cell_length_a 3.798
_cell_length_b 3.798
_cell_length_c 9.227
_cell_angle_alpha 90.00
_cell_angle_beta 90.00
_cell_angle_gamma 90.00
_space_group_name_H-M_alt 'I 4/m m m'
_space_group_IT_number 139
_space_group_name_Hall '-I 4 2'
loop_
_atom_site_label
_atom_site_type_symbol
_atom_site_fract_x
_atom_site_fract_y
_atom_site_fract_z
Tm1 Tm 0.000 0.000 0.000
Ni1 Ni 0.000 0.500 0.250
P1 P 0.000 0.000 0.378

# 10
# GGA-PBEsol NaTl2In, relaxed
# - mass density (g cm⁻³) = 8.80
# - ΔE_f (meV/atom) = -95
# - total magnetization (μB/f.u.) = 0.0
data_NaTl2In
_chemical_formula_sum 'Na4 Tl8 In4'
_cell_length_a 7.444
_cell_length_b 7.444
_cell_length_c 7.444
_cell_angle_alpha 90.00
_cell_angle_beta 90.00
_cell_angle_gamma 90.00
_space_group_name_H-M_alt 'F m -3 m'
_space_group_IT_number 225
_space_group_name_Hall '-F 4 2 3'
loop_
_atom_site_label
_atom_site_type_symbol
_atom_site_fract_x
_atom_site_fract_y
_atom_site_fract_z
Na1 Na 0.000 0.000 0.000
Tl1 Tl 0.250 0.250 0.250
In1 In 0.000 0.000 0.500

# 11
# GGA-PBEsol TbAlB14, relaxed
# - mass density (g cm⁻³) = 4.43
# - ΔE_f (meV/atom) = -209
# - total magnetization (μB/f.u.) = 0.0
data_TbAlB14
_chemical_formula_sum 'Tb4 Al4 B56'
_cell_length_a 5.886
_cell_length_b 10.435
_cell_length_c 8.226
_cell_angle_alpha 90.00
_cell_angle_beta 90.00
_cell_angle_gamma 90.00
_space_group_name_H-M_alt 'I m m a'
_space_group_IT_number 74
_space_group_name_Hall '-I 2b 2'
loop_
_atom_site_label
_atom_site_type_symbol
_atom_site_fract_x
_atom_site_fract_y
_atom_site_fract_z
Tb1 Tb 0.000 0.250 0.149
Al1 Al 0.250 0.250 0.750
B1 B 0.000 0.090 0.667
B2 B 0.000 0.143 0.873
B3 B 0.000 0.167 0.466
B4 B 0.163 0.061 0.338
B5 B 0.248 0.080 0.548

# 12
# GGA-PBEsol Zn5Ni, relaxed
# - mass density (g cm⁻³) = 8.28
# - ΔE_f (meV/atom) = -114
# - total magnetization (μB/f.u.) = 0.0
data_Zn5Ni
_chemical_formula_sum 'Zn10 Ni2'
_cell_length_a 3.730
_cell_length_b 11.142
_cell_length_c 3.723
_cell_angle_alpha 90.00
_cell_angle_beta 90.00
_cell_angle_gamma 90.00
_space_group_name_H-M_alt 'C m m m'
_space_group_IT_number 65
_space_group_name_Hall '-C 2 2'
loop_
_atom_site_label
_atom_site_type_symbol
_atom_site_fract_x
_atom_site_fract_y
_atom_site_fract_z
Zn1 Zn 0.000 0.000 0.000
Zn2 Zn 0.000 0.162 0.500
Zn3 Zn 0.000 0.338 0.000
Ni1 Ni 0.000 0.500 0.500